Entry 1:
{
  "formula": "PC",
  "functional": "PBE-GGA",
  "state": "optimized geometry",
  "lattice_angstrom": [[2.885, 0.000, 0.000], [-1.442, 2.498, 0.000], [0.000, 0.000, 5.041]],
  "species": ["P", "P", "C", "C"],
  "frac_coords": [[0.000, 0.000, 0.000], [0.000, 0.000, 0.500], [0.333, 0.667, 0.250], [0.667, 0.333, 0.750]],
  "relative_energy_mev_per_atom": 1025.0,
  "ef_ev_per_atom": 1.3375,
  "rho_kg_m3": 3929,
  "m_tot_mub_per_cell": 0.0
}

=====

Entry 2:
{
  "formula": "RbAlSn2Se6",
  "functional": "PBE-GGA",
  "state": "optimized geometry",
  "lattice_angstrom": [[7.073, -7.667, 0.000], [7.073, 7.667, 0.000], [-3.296, 0.000, 6.968]],
  "species": ["Rb", "Rb", "Al", "Al", "Sn", "Sn", "Sn", "Sn", "Se", "Se", "Se", "Se", "Se", "Se", "Se", "Se", "Se", "Se", "Se", "Se"],
  "frac_coords": [[0.106, 0.894, 0.750], [0.894, 0.106, 0.250], [0.224, 0.776, 0.250], [0.776, 0.224, 0.750], [0.227, 0.388, 0.855], [0.388, 0.227, 0.355], [0.612, 0.773, 0.645], [0.773, 0.612, 0.145], [0.007, 0.208, 0.737], [0.208, 0.007, 0.237], [0.237, 0.648, 0.949], [0.289, 0.411, 0.555], [0.352, 0.763, 0.551], [0.411, 0.289, 0.055], [0.589, 0.711, 0.945], [0.648, 0.237, 0.449], [0.711, 0.589, 0.445], [0.763, 0.352, 0.051], [0.792, 0.993, 0.763], [0.993, 0.792, 0.263]],
  "formation_energy_uncorrected_ev_per_atom": -0.540,
  "rho_kg_m3": 3619,
  "m_tot_mub_per_cell": 0.0
}

=====

Entry 3:
{
  "formula": "Tl3Hg5Au",
  "functional": "PBE-GGA",
  "state": "optimized geometry",
  "lattice_angstrom": [[9.534, 0.000, 0.000], [-4.767, 8.257, 0.000], [0.000, 0.000, 6.281]],
  "species": ["Tl", "Tl", "Tl", "Tl", "Tl", "Tl", "Hg", "Hg", "Hg", "Hg", "Hg", "Hg", "Hg", "Hg", "Hg", "Hg", "Au", "Au"],
  "frac_coords": [[0.000, 0.381, 0.250], [0.000, 0.619, 0.750], [0.381, 0.000, 0.250], [0.381, 0.381, 0.750], [0.619, 0.000, 0.750], [0.619, 0.619, 0.250], [0.000, 0.270, 0.750], [0.000, 0.730, 0.250], [0.270, 0.000, 0.750], [0.270, 0.270, 0.250], [0.333, 0.667, 0.000], [0.333, 0.667, 0.500], [0.667, 0.333, 0.000], [0.667, 0.333, 0.500], [0.730, 0.000, 0.250], [0.730, 0.730, 0.750], [0.000, 0.000, 0.000], [0.000, 0.000, 0.500]],
  "relative_energy_mev_per_atom": 24.6,
  "ef_ev_per_atom": 0.0165,
  "rho_kg_m3": 12179,
  "m_tot_mub_per_cell": 0.0
}

=====

Entry 4:
{
  "formula": "ZrCdCo",
  "functional": "PBE-GGA",
  "state": "optimized geometry",
  "lattice_angstrom": [[4.609, 0.000, 0.000], [-2.305, 3.992, 0.000], [0.000, 0.000, 2.897]],
  "species": ["Zr", "Cd", "Co"],
  "frac_coords": [[0.000, 0.000, 0.000], [0.667, 0.333, 0.478], [0.333, 0.667, 0.672]],
  "relative_energy_mev_per_atom": 335.1,
  "ef_ev_per_atom": 0.0891,
  "rho_kg_m3": 8180,
  "m_tot_mub_per_cell": 1.0
}

=====

Entry 5:
{
  "formula": "HgC8",
  "functional": "PBE-GGA",
  "state": "optimized geometry",
  "lattice_angstrom": [[1.289, -8.651, 0.000], [1.289, 8.651, 0.000], [-1.035, 0.000, 8.569]],
  "species": ["Hg", "C", "C", "C", "C", "C", "C", "C", "C"],
  "frac_coords": [[0.000, 0.000, 0.000], [0.183, 0.727, 0.585], [0.250, 0.250, 0.500], [0.250, 0.750, 0.000], [0.273, 0.817, 0.415], [0.727, 0.183, 0.585], [0.750, 0.250, 0.000], [0.750, 0.750, 0.500], [0.817, 0.273, 0.415]],
  "ef_ev_per_atom": 1.3720,
  "rho_kg_m3": 2577,
  "m_tot_mub_per_cell": 0.0
}